Computed, not measured: a geometry-optimized Ag3GeSe3 structure at the GGA-PBE level of DFT.

Cell lengths 4.7037, 8.4154, 9.9337 Å; angles 105.93, 104.55, 90.32 degrees
Atoms (fractional coordinates):
Se (0.8143, 0.4144, 0.1777)
Se (0.8374, 0.8689, 0.1944)
Ag (0.5878, 0.0139, 0.6629)
Ag (0.9115, 0.1982, 0.3281)
Ge (0.9185, 0.6898, 0.3566)
Se (0.4805, 0.7102, 0.4723)
Se (0.1626, 0.1311, 0.8056)
Ag (0.7547, 0.6012, 0.9472)
Ag (0.4122, 0.9861, 0.3371)
Se (0.5195, 0.2898, 0.5277)
Ge (0.0815, 0.3102, 0.6434)
Ag (0.0885, 0.8018, 0.6719)
Ag (0.2453, 0.3988, 0.0528)
Se (0.1857, 0.5856, 0.8223)

Summary:
- energy above the most stable polymorph in this dataset (meV per atom) = 0.0
- volume (Å³ per cell) = 364.8
- ΔE_f (raw) (eV/atom) = -0.11
- energy (eV for the cell shown) = -48.84
- space-group type = P-1


Computed, not measured: a geometry-optimized Ag3Ge5Se12 structure at the GGA-PBE level of DFT.

Cell lengths 13.7219, 13.7219, 13.7219 Å; angles 109.47, 109.47, 109.47 degrees
Atoms (fractional coordinates):
Ag (0.8750, 0.1250, 0.2500)
Ge (0.0000, 0.0000, 0.5000)
Se (0.8215, 0.9131, 0.2829)
Se (0.6302, 0.0386, 0.2171)
Se (0.5386, 0.3215, 0.9084)
Se (0.3215, 0.7829, 0.4131)
Se (0.2829, 0.8698, 0.9614)
Se (0.6785, 0.2171, 0.5869)
Ge (0.3750, 0.2500, 0.1250)
Ag (0.8750, 0.7500, 0.1250)
Ge (0.0000, 0.5000, 0.0000)
Ag (0.2500, 0.6250, 0.8750)
Se (0.4084, 0.3698, 0.5869)
Se (0.3698, 0.9614, 0.7829)
Ge (0.7500, 0.6250, 0.3750)
Se (0.9131, 0.8215, 0.7829)
Se (0.8215, 0.9084, 0.0386)
Ge (0.3750, 0.1250, 0.7500)
Se (0.1302, 0.4131, 0.0916)
Ag (0.7500, 0.3750, 0.1250)
Se (0.2829, 0.4131, 0.8215)
Se (0.4131, 0.1302, 0.5916)
Se (0.9131, 0.0916, 0.6302)
Se (0.0869, 0.9084, 0.3698)
Se (0.3215, 0.5386, 0.4084)
Se (0.5916, 0.6302, 0.4131)
Se (0.2171, 0.6785, 0.0869)
Se (0.9084, 0.0869, 0.8698)
Se (0.0916, 0.9131, 0.1302)
Se (0.7829, 0.3215, 0.9131)
Se (0.0916, 0.1785, 0.4614)
Se (0.4614, 0.6785, 0.0916)
Ge (0.0000, 0.0000, 0.0000)
Ge (0.2500, 0.3750, 0.6250)
Ge (0.5000, 0.0000, 0.0000)
Se (0.5869, 0.7171, 0.6785)
Se (0.0386, 0.4084, 0.8215)
Se (0.5386, 0.2171, 0.1302)
Se (0.5869, 0.8698, 0.4084)
Se (0.9084, 0.8215, 0.5386)
Ge (0.0000, 0.5000, 0.5000)
Se (0.1785, 0.0869, 0.7171)
Se (0.4084, 0.0386, 0.3215)
Ag (0.6250, 0.2500, 0.3750)
Ge (0.6250, 0.7500, 0.8750)
Ag (0.3750, 0.6250, 0.2500)
Ag (0.6250, 0.3750, 0.7500)
Ge (0.1250, 0.3750, 0.2500)
Ge (0.5000, 0.5000, 0.5000)
Se (0.1785, 0.0916, 0.9614)
Ge (0.8750, 0.6250, 0.7500)
Se (0.3698, 0.4084, 0.0869)
Ag (0.1250, 0.8750, 0.7500)
Se (0.8698, 0.2829, 0.4614)
Ge (0.8750, 0.2500, 0.6250)
Se (0.9614, 0.3698, 0.2829)
Se (0.8698, 0.5869, 0.9084)
Se (0.7829, 0.4614, 0.3698)
Se (0.2171, 0.5386, 0.6302)
Ge (0.5000, 0.5000, 0.0000)
Se (0.7171, 0.5869, 0.1785)
Ag (0.7500, 0.8750, 0.6250)
Se (0.9614, 0.5916, 0.1785)
Ge (0.7500, 0.1250, 0.8750)
Ag (0.2500, 0.1250, 0.3750)
Se (0.6785, 0.4614, 0.5916)
Se (0.4614, 0.7829, 0.8698)
Se (0.7171, 0.1302, 0.0386)
Se (0.0869, 0.1785, 0.2171)
Ge (0.1250, 0.7500, 0.3750)
Ge (0.5000, 0.0000, 0.5000)
Ge (0.6250, 0.8750, 0.2500)
Se (0.1302, 0.7171, 0.5386)
Se (0.5916, 0.9614, 0.6785)
Ge (0.2500, 0.8750, 0.1250)
Ag (0.1250, 0.2500, 0.8750)
Se (0.6302, 0.5916, 0.9131)
Se (0.4131, 0.2829, 0.3215)
Ag (0.3750, 0.7500, 0.6250)
Se (0.0386, 0.6302, 0.7171)

Summary:
- volume (Å³ per cell) = 1988.9
- ΔE_f (raw) (eV/atom) = -0.03
- energy (eV for the cell shown) = -296.09
- space-group type = Ia-3d


Computed, not measured: a geometry-optimized AgGe3Se4 structure at the GGA-PBE level of DFT.

Cell lengths 5.6754, 5.5145, 11.4079 Å; angles 90.00, 90.00, 90.00 degrees
Atoms (fractional coordinates):
Se (0.0896, 0.2503, 0.2562)
Se (0.5638, 0.2491, 0.0000)
Se (0.5825, 0.2505, 0.5000)
Ge (0.5473, 0.2505, 0.2508)
Se (0.0638, 0.7509, 0.5000)
Ag (0.0530, 0.2495, 0.0000)
Ge (0.0473, 0.7495, 0.2492)
Ge (0.0420, 0.2492, 0.5000)
Se (0.5896, 0.7497, 0.2438)
Ge (0.5420, 0.7508, 0.0000)
Se (0.5896, 0.7497, 0.7562)
Se (0.0896, 0.2503, 0.7438)
Ge (0.0473, 0.7495, 0.7508)
Ge (0.5473, 0.2505, 0.7492)
Ag (0.5530, 0.7505, 0.5000)
Se (0.0825, 0.7495, 0.0000)

Summary:
- energy above the most stable polymorph in this dataset (meV per atom) = 9.6
- volume (Å³ per cell) = 357.0
- ΔE_f (raw) (eV/atom) = -0.18
- energy (eV for the cell shown) = -64.15
- space-group type = Pmn2_1


Computed, not measured: a geometry-optimized AgGe3Se4 structure at the GGA-PBE level of DFT.

Cell lengths 3.9130, 7.0491, 6.8516 Å; angles 70.60, 90.00, 90.05 degrees
Atoms (fractional coordinates):
Ge (0.4998, 0.0004, 0.5012)
Ag (0.4996, 0.5044, 0.0022)
Se (0.0002, 0.2325, 0.2478)
Ge (0.9994, 0.5290, 0.4953)
Ge (0.9996, 0.0193, 0.9965)
Se (0.9997, 0.7445, 0.7405)
Se (0.5007, 0.2313, 0.7565)
Se (0.5005, 0.7395, 0.2598)

Summary:
- energy above the most stable polymorph in this dataset (meV per atom) = 0.0
- volume (Å³ per cell) = 178.3
- ΔE_f (raw) (eV/atom) = -0.19
- energy (eV for the cell shown) = -32.15
- space-group type = Pm


Computed, not measured: a geometry-optimized Ag3GeSe3 structure at the GGA-PBE level of DFT.

Cell lengths 5.5418, 7.9527, 7.9642 Å; angles 111.66, 90.00, 90.00 degrees
Atoms (fractional coordinates):
Ag (0.7500, 0.4239, 0.2253)
Ag (0.7500, 0.7801, 0.2228)
Se (0.2500, 0.8344, 0.6097)
Se (0.7500, 0.1169, 0.8829)
Se (0.2500, 0.8831, 0.1171)
Se (0.7500, 0.6090, 0.8352)
Ag (0.2500, 0.5761, 0.7747)
Ge (0.2500, 0.7069, 0.2942)
Ge (0.7500, 0.2931, 0.7058)
Se (0.2500, 0.3910, 0.1648)
Ag (0.2500, 0.2359, 0.4279)
Ag (0.2500, 0.2199, 0.7772)
Ag (0.7500, 0.7641, 0.5721)
Se (0.7500, 0.1656, 0.3903)

Summary:
- energy above the most stable polymorph in this dataset (meV per atom) = 141.8
- volume (Å³ per cell) = 326.2
- ΔE_f (raw) (eV/atom) = 0.03
- energy (eV for the cell shown) = -46.85
- space-group type = P2_1/m


Computed, not measured: a geometry-optimized Ag2GeSe5 structure at the GGA-PBE level of DFT.

Cell lengths 6.7141, 5.3306, 9.5996 Å; angles 123.32, 126.63, 74.16 degrees
Atoms (fractional coordinates):
Se (0.8482, 0.9362, 0.2001)
Ag (0.3388, 0.7832, 0.3442)
Se (0.9637, 0.3467, 0.2101)
Se (0.0899, 0.1402, 0.7829)
Se (0.5589, 0.6964, 0.6441)
Ag (0.7277, 0.2645, 0.4494)
Se (0.2956, 0.6362, 0.0149)
Ge (0.9541, 0.9737, 0.9083)

Summary:
- volume (Å³ per cell) = 229.6
- ΔE_f (raw) (eV/atom) = -0.06
- energy (eV for the cell shown) = -28.19
- space-group type = P1